Entry 1:
# NaSnGeS4 (PBE-GGA, relaxed)
data_NaSnGeS4
_cell_length_a 6.961
_cell_length_b 6.961
_cell_length_c 8.258
_cell_angle_alpha 90.00
_cell_angle_beta 90.00
_cell_angle_gamma 113.30
_space_group_name_H-M_alt 'P 1'
_space_group_IT_number 1
loop_
_space_group_symop_operation_xyz
'x,y,z'
loop_
_atom_site_label
_atom_site_type_symbol
_atom_site_fract_x
_atom_site_fract_y
_atom_site_fract_z
Na1 Na 0.000 0.000 0.000
Na2 Na 0.000 0.000 0.500
Sn1 Sn 0.345 0.655 0.750
Sn2 Sn 0.655 0.345 0.250
Ge1 Ge 0.367 0.633 0.250
Ge2 Ge 0.633 0.367 0.750
S1 S 0.250 0.750 0.037
S2 S 0.250 0.750 0.463
S3 S 0.268 0.281 0.250
S4 S 0.281 0.268 0.750
S5 S 0.719 0.732 0.250
S6 S 0.732 0.719 0.750
S7 S 0.750 0.250 0.537
S8 S 0.750 0.250 0.963
# formation energy without anion corrections	-0.50	eV per atom
# total magnetization	0.0	μB per formula unit

Entry 2:
# Na4SnGe2S6 (PBE-GGA, relaxed)
data_Na4SnGe2S6
_cell_length_a 6.930
_cell_length_b 6.930
_cell_length_c 7.739
_cell_angle_alpha 98.06
_cell_angle_beta 98.06
_cell_angle_gamma 119.77
_space_group_name_H-M_alt 'P 1'
_space_group_IT_number 1
loop_
_space_group_symop_operation_xyz
'x,y,z'
loop_
_atom_site_label
_atom_site_type_symbol
_atom_site_fract_x
_atom_site_fract_y
_atom_site_fract_z
Na1 Na 0.000 0.000 0.000
Na2 Na 0.503 0.497 0.500
Na3 Na 0.668 0.332 0.000
Na4 Na 0.847 0.153 0.500
Sn1 Sn 0.347 0.653 0.000
Ge1 Ge 0.114 0.762 0.337
Ge2 Ge 0.238 0.886 0.663
S1 S 0.080 0.422 0.245
S2 S 0.259 0.219 0.747
S3 S 0.395 0.025 0.231
S4 S 0.578 0.920 0.755
S5 S 0.781 0.741 0.253
S6 S 0.975 0.605 0.769
# formation energy without anion corrections	-0.81	eV per atom
# total magnetization	0.0	μB per formula unit

Entry 3:
# NaTbGeS4 (PBE-GGA, relaxed)
data_NaTbGeS4
_cell_length_a 7.715
_cell_length_b 7.715
_cell_length_c 7.715
_cell_angle_alpha 122.37
_cell_angle_beta 116.96
_cell_angle_gamma 90.64
_space_group_name_H-M_alt 'P 1'
_space_group_IT_number 1
loop_
_space_group_symop_operation_xyz
'x,y,z'
loop_
_atom_site_label
_atom_site_type_symbol
_atom_site_fract_x
_atom_site_fract_y
_atom_site_fract_z
Na1 Na 0.500 0.000 0.000
Na2 Na 0.500 0.500 0.500
Tb1 Tb 0.000 0.000 0.000
Tb2 Tb 0.500 0.000 0.500
Ge1 Ge 0.110 0.360 0.750
Ge2 Ge 0.890 0.640 0.250
S1 S 0.231 0.747 0.484
S2 S 0.237 0.253 0.984
S3 S 0.244 0.249 0.506
S4 S 0.244 0.738 0.994
S5 S 0.756 0.262 0.006
S6 S 0.756 0.751 0.494
S7 S 0.763 0.747 0.016
S8 S 0.769 0.253 0.516
# formation energy without anion corrections	-1.04	eV per atom
# total magnetization	0.0	μB per formula unit

Entry 4:
# Na2TbGeS4 (PBE-GGA, relaxed)
data_Na2TbGeS4
_cell_length_a 6.769
_cell_length_b 3.861
_cell_length_c 7.042
_cell_angle_alpha 90.00
_cell_angle_beta 108.46
_cell_angle_gamma 90.00
_space_group_name_H-M_alt 'P 1'
_space_group_IT_number 1
loop_
_space_group_symop_operation_xyz
'x,y,z'
loop_
_atom_site_label
_atom_site_type_symbol
_atom_site_fract_x
_atom_site_fract_y
_atom_site_fract_z
Na1 Na 0.000 0.000 0.000
Na2 Na 0.500 0.500 0.000
Tb1 Tb 0.000 0.500 0.500
Ge1 Ge 0.500 0.000 0.500
S1 S 0.256 0.000 0.723
S2 S 0.273 0.500 0.283
S3 S 0.727 0.500 0.717
S4 S 0.744 0.000 0.277
# formation energy without anion corrections	-1.17	eV per atom
# total magnetization	0.0	μB per formula unit

Q: What is the formation energy without anion corrections in the second record?
A: -0.81 eV per atom